[1]
## KY2NpO8 (PBE)

Data for a relaxed KY2NpO8 crystal.

The structure in extended XYZ format:
```
12
Lattice="-3.1813 -2.3804 0.1312 3.3294 -3.5532 2.1654 -1.7787 2.7815 7.3005" Properties=species:S:1:pos:R:3 pbc="T T T"
O 2.0896 -2.2069 3.0943
O -0.2086 -1.9305 5.0811
O 0.8634 -3.9987 1.7340
O -2.6455 -2.6264 2.0992
O -2.4940 0.8465 7.8631
O -3.7202 -0.9453 6.5029
O 1.0148 -0.5258 7.4979
O -1.4221 -1.2217 4.5160
K -0.8894 1.3907 3.6503
Y -1.3057 -0.8085 6.8136
Y -0.3250 -2.3437 2.7835
Np 0.0000 0.0000 0.0000
```

Output
Raw formation energy (eV/atom): -2.62
ρ (Mg/m³): 5.7
SG: P2/m (10)

[2]
## AcInCuPb (PBE)

Data for a relaxed AcInCuPb crystal.

The structure in extended XYZ format:
```
4
Lattice="-0.9289 -5.1175 -1.4264 1.8685 -4.0326 3.0551 -3.4255 -3.0199 2.8693" Properties=species:S:1:pos:R:3 pbc="T T T"
Pb 0.0000 0.0000 0.0000
In -1.8644 -9.1275 3.3735
Cu -0.6215 -3.0425 1.1245
Ac -1.2429 -6.0850 2.2490
```

Output
ρ (Mg/m³): 9.2
SG: F-43m (216)
E_tot (eV per atom): -3.7595